VASP calculation (PBE) on Ho3Tm4Ir4 after structural relaxation.

Results
Energy of formation = -70.8 kJ/mol of atoms
DFT total energy = -6.830 eV per atom
Total moment = 0.00 μB/f.u.
Fermi-level density of states = 6.9 states/eV/f.u.

Cell and atoms, written as CIF:
```
data_Ho3Tm4Ir4
_chemical_formula_sum 'Ho6 Tm8 Ir8'
_space_group_name_H-M_alt 'I m m m'
_space_group_IT_number 71
_space_group_name_Hall '-I 2 2'
_cell_length_a 3.810
_cell_length_b 8.556
_cell_length_c 15.740
_cell_angle_alpha 90.00
_cell_angle_beta 90.00
_cell_angle_gamma 90.00
loop_
_atom_site_label
_atom_site_type_symbol
_atom_site_fract_x
_atom_site_fract_y
_atom_site_fract_z
Ho1 Ho 0.000 0.000 0.000
Ho2 Ho 0.000 0.500 0.101
Tm1 Tm 0.000 0.309 0.333
Ir1 Ir 0.000 0.000 0.248
Ir2 Ir 0.000 0.212 0.500
```

VASP calculation (PBE) on HoTm2Ir after structural relaxation.

Results
Energy of formation = -13.3 kJ/mol of atoms
DFT total energy = -5.734 eV per atom
Energy relative to the lowest polymorph listed for this composition = 483.4 meV per atom
Total moment = 0.09 μB/f.u.
Fermi-level density of states = 5.4 states/eV/f.u.

Cell and atoms, written as CIF:
```
data_HoTm2Ir
_chemical_formula_sum 'Ho3 Tm6 Ir3'
_space_group_name_H-M_alt 'R -3 m'
_space_group_IT_number 166
_space_group_name_Hall '-R 3 2"'
_cell_length_a 3.6818
_cell_length_b 3.6818
_cell_length_c 31.1897
_cell_angle_alpha 90.00
_cell_angle_beta 90.00
_cell_angle_gamma 120.00
loop_
_atom_site_label
_atom_site_type_symbol
_atom_site_fract_x
_atom_site_fract_y
_atom_site_fract_z
Ho1 Ho 0.0000 0.0000 0.0000
Tm1 Tm 0.0000 0.0000 0.1128
Ir1 Ir 0.0000 0.0000 0.5000
```

VASP calculation (PBE) on Ho2TmIr after structural relaxation.

Results
Energy of formation = -38.4 kJ/mol of atoms
DFT total energy = -6.020 eV per atom
Energy relative to the lowest polymorph listed for this composition = 208.7 meV per atom
Total moment = 0.06 μB/f.u.
Fermi-level density of states = 5.4 states/eV/f.u.

Cell and atoms, written as CIF:
```
data_Ho2TmIr
_chemical_formula_sum 'Ho2 Tm1 Ir1'
_space_group_name_H-M_alt 'P 4/m m m'
_space_group_IT_number 123
_space_group_name_Hall '-P 4 2'
_cell_length_a 3.467
_cell_length_b 3.467
_cell_length_c 8.655
_cell_angle_alpha 90.00
_cell_angle_beta 90.00
_cell_angle_gamma 90.00
loop_
_atom_site_label
_atom_site_type_symbol
_atom_site_fract_x
_atom_site_fract_y
_atom_site_fract_z
Ho1 Ho 0.000 0.000 0.188
Tm1 Tm 0.500 0.500 0.500
Ir1 Ir 0.500 0.500 0.000
```

VASP calculation (PBE) on Ho2TmIr after structural relaxation.

Results
Energy of formation = -58.5 kJ/mol of atoms
DFT total energy = -6.229 eV per atom
Energy relative to the lowest polymorph listed for this composition = 0.0 meV per atom
Total moment = 0.00 μB/f.u.
Fermi-level density of states = 3.8 states/eV/f.u.

Cell and atoms, written as CIF:
```
data_Ho2TmIr
_chemical_formula_sum 'Ho8 Tm4 Ir4'
_space_group_name_H-M_alt 'P n m a'
_space_group_IT_number 62
_space_group_name_Hall '-P 2ac 2n'
_cell_length_a 7.178
_cell_length_b 9.173
_cell_length_c 6.357
_cell_angle_alpha 90.00
_cell_angle_beta 90.00
_cell_angle_gamma 90.00
loop_
_atom_site_label
_atom_site_type_symbol
_atom_site_fract_x
_atom_site_fract_y
_atom_site_fract_z
Ho1 Ho 0.178 0.062 0.176
Tm1 Tm 0.034 0.250 0.629
Ir1 Ir 0.115 0.750 0.960
```

VASP calculation (PBE) on HoTm2Ir3 after structural relaxation.

Results
Energy of formation = -86.3 kJ/mol of atoms
DFT total energy = -7.578 eV per atom
Total moment = 0.00 μB/f.u.
Fermi-level density of states = 2.5 states/eV/f.u.

Cell and atoms, written as CIF:
```
data_HoTm2Ir3
_chemical_formula_sum 'Ho1 Tm2 Ir3'
_space_group_name_H-M_alt 'P -3 m 1'
_space_group_IT_number 164
_space_group_name_Hall '-P 3 2"'
_cell_length_a 4.7969
_cell_length_b 4.7969
_cell_length_c 5.8747
_cell_angle_alpha 90.00
_cell_angle_beta 90.00
_cell_angle_gamma 120.00
loop_
_atom_site_label
_atom_site_type_symbol
_atom_site_fract_x
_atom_site_fract_y
_atom_site_fract_z
Ho1 Ho 0.0000 0.0000 0.0000
Tm1 Tm 0.3333 0.6667 0.6659
Ir1 Ir 0.0000 0.0000 0.5000
Ir2 Ir 0.3333 0.6667 0.1684
```

VASP calculation (PBE) on HoTm4Ir5 after structural relaxation.

Results
Energy of formation = -85.6 kJ/mol of atoms
DFT total energy = -7.564 eV per atom
Total moment = 0.00 μB/f.u.
Fermi-level density of states = 8.3 states/eV/f.u.

Cell and atoms, written as CIF:
```
data_HoTm4Ir5
_chemical_formula_sum 'Ho1 Tm4 Ir5'
_space_group_name_H-M_alt 'P 4/m m m'
_space_group_IT_number 123
_space_group_name_Hall '-P 4 2'
_cell_length_a 3.430
_cell_length_b 3.430
_cell_length_c 16.520
_cell_angle_alpha 90.00
_cell_angle_beta 90.00
_cell_angle_gamma 90.00
loop_
_atom_site_label
_atom_site_type_symbol
_atom_site_fract_x
_atom_site_fract_y
_atom_site_fract_z
Ho1 Ho 0.000 0.000 0.000
Tm1 Tm 0.000 0.000 0.201
Tm2 Tm 0.000 0.000 0.400
Ir1 Ir 0.500 0.500 0.102
Ir2 Ir 0.500 0.500 0.301
Ir3 Ir 0.500 0.500 0.500
```

VASP calculation (PBE) on HoTm3Ir2 after structural relaxation.

Results
Energy of formation = -66.5 kJ/mol of atoms
DFT total energy = -6.641 eV per atom
Energy relative to the lowest polymorph listed for this composition = 92.4 meV per atom
Total moment = 0.00 μB/f.u.
Fermi-level density of states = 4.6 states/eV/f.u.

Cell and atoms, written as CIF:
```
data_HoTm3Ir2
_chemical_formula_sum 'Ho4 Tm12 Ir8'
_space_group_name_H-M_alt 'I b a m'
_space_group_IT_number 72
_space_group_name_Hall '-I 2 2c'
_cell_length_a 6.680
_cell_length_b 13.469
_cell_length_c 6.959
_cell_angle_alpha 90.00
_cell_angle_beta 90.00
_cell_angle_gamma 90.00
loop_
_atom_site_label
_atom_site_type_symbol
_atom_site_fract_x
_atom_site_fract_y
_atom_site_fract_z
Ho1 Ho 0.000 0.000 0.000
Tm1 Tm 0.000 0.234 0.250
Tm2 Tm 0.000 0.500 0.250
Ir1 Ir 0.212 0.362 0.000
```

VASP calculation (PBE) on HoTmIr after structural relaxation.

Results
Energy of formation = -59.4 kJ/mol of atoms
DFT total energy = -6.586 eV per atom
Energy relative to the lowest polymorph listed for this composition = 134.2 meV per atom
Total moment = 0.00 μB/f.u.
Fermi-level density of states = 3.2 states/eV/f.u.

Cell and atoms, written as CIF:
```
data_HoTmIr
_chemical_formula_sum 'Ho2 Tm2 Ir2'
_space_group_name_H-M_alt 'I 4 m m'
_space_group_IT_number 107
_space_group_name_Hall 'I 4 -2'
_cell_length_a 3.434
_cell_length_b 3.434
_cell_length_c 12.589
_cell_angle_alpha 90.00
_cell_angle_beta 90.00
_cell_angle_gamma 90.00
loop_
_atom_site_label
_atom_site_type_symbol
_atom_site_fract_x
_atom_site_fract_y
_atom_site_fract_z
Ho1 Ho 0.000 0.000 0.000
Tm1 Tm 0.000 0.000 0.743
Ir1 Ir 0.000 0.000 0.370
```

VASP calculation (PBE) on Ho2TmIr after structural relaxation.

Results
Energy of formation = -28.2 kJ/mol of atoms
DFT total energy = -5.915 eV per atom
Energy relative to the lowest polymorph listed for this composition = 314.0 meV per atom
Total moment = 0.87 μB/f.u.
Fermi-level density of states = 4.6 states/eV/f.u.

Cell and atoms, written as CIF:
```
data_Ho2TmIr
_chemical_formula_sum 'Ho6 Tm3 Ir3'
_space_group_name_H-M_alt 'R -3 m'
_space_group_IT_number 166
_space_group_name_Hall '-R 3 2"'
_cell_length_a 3.8083
_cell_length_b 3.8083
_cell_length_c 27.8468
_cell_angle_alpha 90.00
_cell_angle_beta 90.00
_cell_angle_gamma 120.00
loop_
_atom_site_label
_atom_site_type_symbol
_atom_site_fract_x
_atom_site_fract_y
_atom_site_fract_z
Ho1 Ho 0.0000 0.0000 0.2254
Tm1 Tm 0.0000 0.0000 0.0000
Ir1 Ir 0.0000 0.0000 0.5000
```

VASP calculation (PBE) on Ho3TmIr4 after structural relaxation.

Results
Energy of formation = -83.9 kJ/mol of atoms
DFT total energy = -7.576 eV per atom
Total moment = 0.00 μB/f.u.
Fermi-level density of states = 1.5 states/eV/f.u.

Cell and atoms, written as CIF:
```
data_Ho3TmIr4
_chemical_formula_sum 'Ho3 Tm1 Ir4'
_space_group_name_H-M_alt 'P m m m'
_space_group_IT_number 47
_space_group_name_Hall '-P 2 2'
_cell_length_a 3.563
_cell_length_b 4.700
_cell_length_c 9.400
_cell_angle_alpha 90.00
_cell_angle_beta 90.00
_cell_angle_gamma 90.00
loop_
_atom_site_label
_atom_site_type_symbol
_atom_site_fract_x
_atom_site_fract_y
_atom_site_fract_z
Ho1 Ho 0.000 0.000 0.000
Ho2 Ho 0.000 0.500 0.251
Tm1 Tm 0.000 0.000 0.500
Ir1 Ir 0.500 0.000 0.252
Ir2 Ir 0.500 0.500 0.000
Ir3 Ir 0.500 0.500 0.500
```

VASP calculation (PBE) on Ho2TmIr after structural relaxation.

Results
Energy of formation = -54.9 kJ/mol of atoms
DFT total energy = -6.191 eV per atom
Energy relative to the lowest polymorph listed for this composition = 37.2 meV per atom
Total moment = 0.00 μB/f.u.
Fermi-level density of states = 4.0 states/eV/f.u.

Cell and atoms, written as CIF:
```
data_Ho2TmIr
_chemical_formula_sum 'Ho8 Tm4 Ir4'
_space_group_name_H-M_alt 'C m c m'
_space_group_IT_number 63
_space_group_name_Hall '-C 2c 2'
_cell_length_a 3.879
_cell_length_b 11.937
_cell_length_c 9.027
_cell_angle_alpha 90.00
_cell_angle_beta 90.00
_cell_angle_gamma 90.00
loop_
_atom_site_label
_atom_site_type_symbol
_atom_site_fract_x
_atom_site_fract_y
_atom_site_fract_z
Ho1 Ho 0.000 0.141 0.066
Tm1 Tm 0.000 0.426 0.250
Ir1 Ir 0.000 0.245 0.750
```

VASP calculation (PBE) on HoTm3Ir3 after structural relaxation.

Results
Energy of formation = -76.9 kJ/mol of atoms
DFT total energy = -7.165 eV per atom
Energy relative to the lowest polymorph listed for this composition = 0.0 meV per atom
Total moment = 0.00 μB/f.u.
Fermi-level density of states = 6.6 states/eV/f.u.

Cell and atoms, written as CIF:
```
data_HoTm3Ir3
_chemical_formula_sum 'Ho3 Tm9 Ir9'
_space_group_name_H-M_alt 'R -3 m'
_space_group_IT_number 166
_space_group_name_Hall '-R 3 2"'
_cell_length_a 9.5737
_cell_length_b 9.5737
_cell_length_c 5.8338
_cell_angle_alpha 90.00
_cell_angle_beta 90.00
_cell_angle_gamma 120.00
loop_
_atom_site_label
_atom_site_type_symbol
_atom_site_fract_x
_atom_site_fract_y
_atom_site_fract_z
Ho1 Ho 0.0000 0.0000 0.0000
Tm1 Tm 0.0000 0.5000 0.0000
Ir1 Ir 0.0000 0.5000 0.5000
```